The following is a GGA-PBE calculation of an optimized crystal structure of CoRe4Pb, from Alexandria via LeMat-Bulk.

Cell: 5.2504 5.2504 5.2504 Å, 60.00 60.00 60.00°
With the nearest neighbours (Å) after each atom.
Element x y z (fractional)
Co: 0.7500 0.7500 0.7500  12 Re 3.08, 4 Pb 3.22
Re: 0.8728 0.3757 0.3757  6 Re 2.61-2.64
Re: 0.3757 0.3757 0.8728  6 Re 2.61-2.64
Re: 0.3757 0.8728 0.3757  6 Re 2.61-2.64
Re: 0.3757 0.3757 0.3757  6 Re 2.61-2.64
Pb: 0.0000 0.0000 0.0000  12 Re 3.08, 4 Co 3.22

For the electronic total energy, the calculation gives -55.18 eV per cell. As for the mass density: 16.40 g cm⁻³. As for the size of the total moment: 2.2 μB per formula unit. As for the space group: F-43m, No. 216. The value obtained for the formation energy is 523 kJ/mol of formula units. The value obtained for the density of states at the Fermi level is 5.9 states/eV/cell.

The following is a GGA-PBE calculation of an optimized crystal structure of Cs2PmYSe4, from Alexandria via LeMat-Bulk.

Cell: 4.3231 7.4877 8.7516 Å, 106.56 90.00 90.00°
With the nearest neighbours (Å) after each atom.
Element x y z (fractional)
Cs: 0.5000 0.0000 0.5000  6 Se 3.60
Cs: 0.0000 0.5000 0.5000  6 Se 3.64
Pm: 0.5000 0.5000 0.0000  6 Se 2.97-2.98
Y: 0.0000 0.0000 0.0000  6 Se 2.92-2.93
Se: 0.5000 0.2237 0.1866  2 Y 2.93, 1 Pm 2.98
Se: 0.5000 0.7763 0.8134  2 Y 2.93, 1 Pm 2.98
Se: 0.0000 0.2652 0.8114  1 Y 2.92, 2 Pm 2.97
Se: 0.0000 0.7348 0.1886  1 Y 2.92, 2 Pm 2.97

For the electronic total energy, the calculation gives -40.72 eV per cell. The uncorrected formation energy is -13.9 eV/f.u. As for the mass density: 4.99 g cm⁻³. As for the size of the total moment: 0.0 μB per formula unit. As for the space group: P2/m, No. 10. The value obtained for the density of states at the Fermi level is 0.0 states/eV/cell.

The following is a GGA-PBE calculation of an optimized crystal structure of TbDy2ZrAs4, from Alexandria via LeMat-Bulk.

Cell: 4.0487 7.0162 7.0147 Å, 109.29 90.00 90.00°
With the nearest neighbours (Å) after each atom.
Element x y z (fractional)
Tb: 0.5000 0.5000 0.0000  6 As 2.87
Dy: 0.5000 0.0000 0.5000  6 As 2.86
Dy: 0.0000 0.5000 0.5000  6 As 2.92
Zr: 0.0000 0.0000 0.0000  6 As 2.80-2.81
As: 0.5000 0.2399 0.2408  2 Zr 2.81, 3 Dy 2.86-2.92, 1 Tb 2.87
As: 0.5000 0.7601 0.7592  2 Zr 2.81, 3 Dy 2.86-2.92, 1 Tb 2.87
As: 0.0000 0.2439 0.7544  1 Zr 2.80, 3 Dy 2.86-2.92, 2 Tb 2.87
As: 0.0000 0.7561 0.2456  1 Zr 2.80, 3 Dy 2.86-2.92, 2 Tb 2.87

For the electronic total energy, the calculation gives -52.43 eV per cell. As for the mass density: 7.72 g cm⁻³. As for the size of the total moment: 0.0 μB per formula unit. As for the space group: P2/m, No. 10. The value obtained for the formation energy is -1104 kJ/mol of formula units. The value obtained for the density of states at the Fermi level is 1.4 states/eV/cell.

The following is a GGA-PBE calculation of an optimized crystal structure of Pm2SmZrN4, from Alexandria via LeMat-Bulk.

Cell: 3.4937 6.0723 6.0806 Å, 109.14 90.00 90.00°
With the nearest neighbours (Å) after each atom.
Element x y z (fractional)
Pm: 0.5000 0.0000 0.5000  6 N 2.49
Pm: 0.0000 0.5000 0.5000  6 N 2.59-2.61
Sm: 0.5000 0.5000 0.0000  6 N 2.47-2.48
Zr: 0.0000 0.0000 0.0000  6 N 2.34-2.38
N: 0.5000 0.2300 0.2288  2 Zr 2.38, 1 Sm 2.47, 3 Pm 2.49-2.59
N: 0.5000 0.7700 0.7712  2 Zr 2.38, 1 Sm 2.47, 3 Pm 2.49-2.59
N: 0.0000 0.2378 0.7646  1 Zr 2.34, 2 Sm 2.48, 3 Pm 2.49-2.61
N: 0.0000 0.7622 0.2354  1 Zr 2.34, 2 Sm 2.48, 3 Pm 2.49-2.61

For the electronic total energy, the calculation gives -68.22 eV per cell. The uncorrected formation energy is -12.2 eV/f.u. As for the mass density: 8.01 g cm⁻³. As for the size of the total moment: 0.0 μB per formula unit. As for the space group: P2/m, No. 10. The value obtained for the density of states at the Fermi level is 1.1 states/eV/cell.

The following is a GGA-PBE calculation of an optimized crystal structure of ScCuSb2, from Alexandria via LeMat-Bulk.

Cell: 3.9606 4.6190 4.6190 Å, 90.00 90.00 90.00°
With the nearest neighbours (Å) after each atom.
Element x y z (fractional)
Cu: 0.5000 0.0000 0.5000  8 Sb 3.04, 4 Sc 3.27
Sb: 0.0000 0.0000 0.0000  4 Sc 3.04, 4 Cu 3.04, 4 Sb 3.27
Sb: 0.0000 0.5000 0.5000  4 Cu 3.04, 4 Sc 3.04, 4 Sb 3.27
Sc: 0.5000 0.5000 0.0000  8 Sb 3.04, 4 Cu 3.27

For the electronic total energy, the calculation gives -19.80 eV per cell. The uncorrected formation energy is -1.1 eV/f.u. As for the mass density: 6.92 g cm⁻³. As for the size of the total moment: 0.0 μB per formula unit. As for the space group: P4/mmm, No. 123. The value obtained for the density of states at the Fermi level is 2.6 states/eV/cell.

The following is a GGA-PBE calculation of an optimized crystal structure of NpFeNiIr, from Alexandria via LeMat-Bulk.

Cell: 4.3986 4.3986 4.3986 Å, 60.00 60.00 60.00°
With the nearest neighbours (Å) after each atom.
Element x y z (fractional)
Np: 0.0000 0.0000 0.0000  4 Fe 2.69, 4 Ni 2.69
Ni: 0.2500 0.2500 0.2500  4 Np 2.69, 4 Ir 2.69
Ir: 0.5000 0.5000 0.5000  4 Ni 2.69, 4 Fe 2.69
Fe: 0.7500 0.7500 0.7500  4 Np 2.69, 4 Ir 2.69

For the electronic total energy, the calculation gives -36.14 eV per cell. As for the mass density: 15.00 g cm⁻³. As for the size of the total moment: 0.7 μB per formula unit. As for the space group: F-43m, No. 216. The value obtained for the formation energy is -10 kJ/mol of formula units. The value obtained for the density of states at the Fermi level is 7.0 states/eV/cell.

The following is a GGA-PBE calculation of an optimized crystal structure of Sc4PaTc, from Alexandria via LeMat-Bulk.

Cell: 5.0219 5.7300 6.1586 Å, 57.69 65.94 64.01°
With the nearest neighbours (Å) after each atom.
Element x y z (fractional)
Sc: 0.6358 0.0168 0.7116  5 Sc 2.92-3.25, 2 Tc 2.97
Sc: 0.3642 0.9832 0.2884  5 Sc 2.92-3.25, 2 Tc 2.97
Sc: 0.7104 0.4252 0.1539  1 Tc 2.68, 4 Sc 2.92-2.98
Sc: 0.2896 0.5748 0.8461  1 Tc 2.68, 4 Sc 2.92-2.98
Pa: 0.0000 0.5000 0.5000  2 Tc 2.87
Tc: 0.0000 0.0000 0.0000  6 Sc 2.68-2.97, 2 Pa 2.87

For the electronic total energy, the calculation gives -45.45 eV per cell. As for the mass density: 6.45 g cm⁻³. As for the size of the total moment: 0.0 μB per formula unit. As for the space group: C2/m, No. 12. The value obtained for the formation energy is -25 kJ/mol of formula units. The value obtained for the density of states at the Fermi level is 7.8 states/eV/cell.

The following is a GGA-PBE calculation of an optimized crystal structure of Nb2FePt6, from Alexandria via LeMat-Bulk.

Cell: 3.8488 7.1627 7.1962 Å, 119.85 105.52 90.00°
With the nearest neighbours (Å) after each atom.
Element x y z (fractional)
Nb: 0.6555 0.6556 0.3113  8 Pt 2.66-2.72
Nb: 0.3445 0.3444 0.6887  8 Pt 2.66-2.72
Fe: 0.0000 0.0000 0.0000  8 Pt 2.55-2.60
Pt: 0.1655 0.4023 0.3311  1 Fe 2.60, 3 Nb 2.70-2.72, 4 Pt 2.75-2.79
Pt: 0.8345 0.0712 0.6689  1 Fe 2.60, 3 Nb 2.70-2.72, 4 Pt 2.75-2.79
Pt: 0.8345 0.5977 0.6689  1 Fe 2.60, 3 Nb 2.70-2.72, 4 Pt 2.75-2.79
Pt: 0.5000 0.2336 0.0000  2 Fe 2.55, 2 Nb 2.66, 4 Pt 2.75
Pt: 0.1655 0.9288 0.3311  1 Fe 2.60, 3 Nb 2.70-2.72, 4 Pt 2.75-2.79
Pt: 0.5000 0.7664 0.0000  2 Fe 2.55, 2 Nb 2.66, 4 Pt 2.75

For the electronic total energy, the calculation gives -67.41 eV per cell. As for the mass density: 14.33 g cm⁻³. As for the size of the total moment: 3.2 μB per formula unit. As for the space group: Immm, No. 71. The value obtained for the formation energy is -247 kJ/mol of formula units. The value obtained for the density of states at the Fermi level is 6.2 states/eV/cell.

The following is a GGA-PBE calculation of an optimized crystal structure of HfMn5Ge4, from Alexandria via LeMat-Bulk.

Cell: 4.2794 8.6267 7.6603 Å, 90.00 90.00 90.00°
With the nearest neighbours (Å) after each atom.
Element x y z (fractional)
Hf: 0.5072 0.0000 0.0000  4 Ge 2.62-2.69, 4 Mn 2.86
Hf: 0.4928 0.5000 0.5000  4 Ge 2.62-2.69, 4 Mn 2.86
Mn: 0.2635 0.7646 0.6854  3 Mn 2.27-2.48, 1 Ge 2.47
Mn: 0.2635 0.2354 0.6854  3 Mn 2.27-2.48, 1 Ge 2.47
Mn: 0.7366 0.5000 0.0000  4 Mn 2.48, 6 Ge 2.53-2.66
Mn: 0.2635 0.7646 0.3146  3 Mn 2.27-2.48, 1 Ge 2.47
Mn: 0.2635 0.2354 0.3146  3 Mn 2.27-2.48, 1 Ge 2.47
Mn: 0.7365 0.7354 0.1854  3 Mn 2.27-2.48, 1 Ge 2.47
Mn: 0.7365 0.2646 0.1854  3 Mn 2.27-2.48, 1 Ge 2.47
Mn: 0.2634 0.0000 0.5000  4 Mn 2.48, 6 Ge 2.53-2.66
Mn: 0.7365 0.2646 0.8146  3 Mn 2.27-2.48, 1 Ge 2.47
Mn: 0.7365 0.7354 0.8146  3 Mn 2.27-2.48, 1 Ge 2.47
Ge: 0.9967 0.0000 0.7943  5 Mn 2.47-2.54, 2 Hf 2.62-2.69
Ge: 0.2541 0.6709 0.0000  8 Mn 2.54-2.69
Ge: 0.2541 0.3291 0.0000  8 Mn 2.54-2.69
Ge: 0.9967 0.0000 0.2057  5 Mn 2.47-2.54, 2 Hf 2.62-2.69
Ge: 0.0033 0.5000 0.2943  5 Mn 2.47-2.54, 2 Hf 2.62-2.69
Ge: 0.7459 0.8291 0.5000  8 Mn 2.54-2.69
Ge: 0.7459 0.1709 0.5000  8 Mn 2.54-2.69
Ge: 0.0033 0.5000 0.7057  5 Mn 2.47-2.54, 2 Hf 2.62-2.69

For the electronic total energy, the calculation gives -149.18 eV per cell. As for the mass density: 8.73 g cm⁻³. As for the size of the total moment: 1.9 μB per formula unit. As for the space group: Pmmn, No. 59. The value obtained for the formation energy is -31 kJ/mol of formula units. The value obtained for the density of states at the Fermi level is 12.0 states/eV/cell.

The following is a GGA-PBE calculation of an optimized crystal structure of MnZn2Au, from Alexandria via LeMat-Bulk.

Cell: 3.1697 3.1697 6.1640 Å, 90.00 90.00 90.01°
With the nearest neighbours (Å) after each atom.
Element x y z (fractional)
Au: 0.0000 0.0000 0.5012  4 Mn 2.76, 5 Zn 2.76-3.05
Mn: 0.5000 0.5000 0.7618  5 Zn 2.67-2.95, 4 Au 2.76
Zn: 0.0000 0.0000 0.9966  4 Mn 2.67, 4 Zn 2.70
Zn: 0.5000 0.5000 0.2405  4 Zn 2.70, 4 Au 2.76, 1 Mn 2.95

For the electronic total energy, the calculation gives -15.09 eV per cell. As for the mass density: 10.26 g cm⁻³. As for the size of the total moment: 3.8 μB per formula unit. As for the space group: P4mm, No. 99. The value obtained for the formation energy is -10 kJ/mol of formula units. The value obtained for the density of states at the Fermi level is 1.9 states/eV/cell.

The following is a GGA-PBE calculation of an optimized crystal structure of RbTiSb2O8, from Alexandria via LeMat-Bulk.

Cell: 4.9468 4.9437 6.6811 Å, 89.96 89.96 85.41°
With the nearest neighbours (Å) after each atom.
Element x y z (fractional)
Rb: 0.0000 0.0000 0.5000  6 O 2.47-2.49
Ti: 0.0000 0.0000 0.0000  4 O 1.92
Sb: 0.5000 0.5000 0.7646  6 O 1.96-2.12
Sb: 0.5000 0.5000 0.2354  6 O 1.96-2.12
O: 0.2096 0.7891 0.1958  1 Ti 1.92, 1 Sb 1.96
O: 0.6948 0.6956 0.9999  2 Sb 2.12, 1 Ti 2.22
O: 0.7899 0.2104 0.1958  1 Ti 1.92, 1 Sb 1.96
O: 0.7904 0.2109 0.8042  1 Ti 1.92, 1 Sb 1.96
O: 0.3052 0.3044 0.0001  2 Sb 2.12, 1 Ti 2.22
O: 0.2101 0.7896 0.8042  1 Ti 1.92, 1 Sb 1.96
O: 0.6561 0.6577 0.4998  2 Sb 2.10, 1 O 2.28
O: 0.3439 0.3423 0.5002  2 Sb 2.10, 1 O 2.28

For the electronic total energy, the calculation gives -74.32 eV per cell. The uncorrected formation energy is -17.6 eV/f.u. As for the mass density: 5.15 g cm⁻³. As for the size of the total moment: 0.7 μB per formula unit. As for the space group: P2/m, No. 10. The value obtained for the density of states at the Fermi level is 6.6 states/eV/cell.

The following is a GGA-PBE calculation of an optimized crystal structure of MgIrF2, from Alexandria via LeMat-Bulk.

Cell: 4.2106 4.2106 4.2106 Å, 60.00 60.00 60.00°
With the nearest neighbours (Å) after each atom.
Element x y z (fractional)
Mg: 0.0000 0.0000 0.0000  8 F 2.58
Ir: 0.5000 0.5000 0.5000  8 F 2.58
F: 0.2500 0.2500 0.2500  4 Mg 2.58, 4 Ir 2.58
F: 0.7500 0.7500 0.7500  4 Mg 2.58, 4 Ir 2.58

The energy relative to the lowest polymorph listed for this composition comes out at 520 meV/atom. For the electronic total energy, the calculation gives -16.37 eV per cell. The uncorrected formation energy is -2.2 eV/f.u. As for the mass density: 8.01 g cm⁻³. As for the size of the total moment: 1.7 μB per formula unit. As for the space group: Fm-3m, No. 225. The value obtained for the density of states at the Fermi level is 1.8 states/eV/cell.